No. 1
YFeW2 | PBE | relaxed

Properties
total DFT energy (no corrections) = -9.49 eV/atom
formation energy = 0.721 eV per atom
ρ = 12.02 g/cm³
energy above the most stable polymorph in this dataset = 397.4 meV per atom
size of the total moment = 4.36 Bohr magnetons per cell

Geometry as CIF:
```
data_YFeW2
_chemical_formula_sum 'Y2 Fe2 W4'
_symmetry_space_group_name_H-M 'C m m m'
_symmetry_Int_Tables_number 65
_symmetry_space_group_name_Hall '-C 2 2'
_cell_length_a 5.379
_cell_length_b 9.603
_cell_length_c 2.741
_cell_angle_alpha 90.00
_cell_angle_beta 90.00
_cell_angle_gamma 90.00
loop_
_atom_site_label
_atom_site_fract_x
_atom_site_fract_y
_atom_site_fract_z
Y1 0.000 0.000 0.000
Fe1 0.000 0.500 0.000
W1 0.250 0.250 0.500
```

=====

No. 2
YFeW2 | PBE | relaxed

Properties
total DFT energy (no corrections) = -9.62 eV/atom
formation energy = 0.587 eV per atom
ρ = 12.30 g/cm³
energy above the most stable polymorph in this dataset = 263.7 meV per atom
size of the total moment = 3.06 Bohr magnetons per cell

Geometry as CIF:
```
data_YFeW2
_chemical_formula_sum 'Y2 Fe2 W4'
_symmetry_space_group_name_H-M 'C 1 2/m 1'
_symmetry_Int_Tables_number 12
_cell_length_a 5.424
_cell_length_b 9.705
_cell_length_c 2.795
_cell_angle_alpha 90.00
_cell_angle_beta 109.85
_cell_angle_gamma 90.00
loop_
_symmetry_equiv_pos_as_xyz
'x,y,z'
'-x,-y,-z'
'-x,y,-z'
'x,-y,z'
'x+1/2,y+1/2,z'
'-x+1/2,-y+1/2,-z'
'-x+1/2,y+1/2,-z'
'x+1/2,-y+1/2,z'
loop_
_atom_site_label
_atom_site_fract_x
_atom_site_fract_y
_atom_site_fract_z
Y1 0.000 0.000 0.000
Fe1 0.000 0.500 0.000
W1 0.250 0.250 0.500
```

=====

No. 3
YFeW2 | PBE | relaxed

Properties
total DFT energy (no corrections) = -9.69 eV/atom
formation energy = 0.521 eV per atom
ρ = 11.37 g/cm³
energy above the most stable polymorph in this dataset = 198.1 meV per atom
size of the total moment = 2.21 Bohr magnetons per cell

Geometry as CIF:
```
data_YFeW2
_chemical_formula_sum 'Y2 Fe2 W4'
_symmetry_space_group_name_H-M 'C 1 m 1'
_symmetry_Int_Tables_number 8
_cell_length_a 9.354
_cell_length_b 3.189
_cell_length_c 5.329
_cell_angle_alpha 90.00
_cell_angle_beta 109.74
_cell_angle_gamma 90.00
loop_
_symmetry_equiv_pos_as_xyz
'x,y,z'
'x,-y,z'
'x+1/2,y+1/2,z'
'x+1/2,-y+1/2,z'
loop_
_atom_site_label
_atom_site_fract_x
_atom_site_fract_y
_atom_site_fract_z
Y1 0.000 0.000 0.000
Fe1 0.237 0.000 0.680
W1 0.020 0.500 0.521
W2 0.289 0.500 0.349
```

=====

No. 4
YFeW2 | PBE | relaxed

Properties
total DFT energy (no corrections) = -9.76 eV/atom
formation energy = 0.449 eV per atom
ρ = 12.43 g/cm³
energy above the most stable polymorph in this dataset = 125.5 meV per atom
size of the total moment = 5.17 Bohr magnetons per cell

Geometry as CIF:
```
data_YFeW2
_chemical_formula_sum 'Y4 Fe4 W8'
_symmetry_space_group_name_H-M 'F -4 3 m'
_symmetry_Int_Tables_number 216
_symmetry_space_group_name_Hall 'F -4 2 3'
_cell_length_a 6.493
_cell_length_b 6.493
_cell_length_c 6.493
_cell_angle_alpha 90.00
_cell_angle_beta 90.00
_cell_angle_gamma 90.00
loop_
_atom_site_label
_atom_site_fract_x
_atom_site_fract_y
_atom_site_fract_z
Y1 0.000 0.000 0.000
Fe1 0.250 0.250 0.750
W1 0.000 0.000 0.500
W2 0.250 0.250 0.250
```

=====

No. 5
YFeW3 | PBE | relaxed

Properties
total DFT energy (no corrections) = -9.74 eV/atom
formation energy = 1.017 eV per atom
ρ = 11.98 g/cm³
energy above the most stable polymorph in this dataset = 0.0 meV per atom
size of the total moment = 0.00 Bohr magnetons per cell

Geometry as CIF:
```
data_YFeW3
_chemical_formula_sum 'Y1 Fe1 W3'
_symmetry_space_group_name_H-M 'P m -3 m'
_symmetry_Int_Tables_number 221
_symmetry_space_group_name_Hall '-P 4 2 3'
_cell_length_a 4.586
_cell_length_b 4.586
_cell_length_c 4.586
_cell_angle_alpha 90.00
_cell_angle_beta 90.00
_cell_angle_gamma 90.00
loop_
_atom_site_label
_atom_site_fract_x
_atom_site_fract_y
_atom_site_fract_z
Y1 0.000 0.000 0.000
Fe1 0.500 0.500 0.500
W1 0.000 0.500 0.500
```

=====

No. 6
Y2FeW | PBE | relaxed

Properties
total DFT energy (no corrections) = -8.37 eV/atom
formation energy = 0.213 eV per atom
ρ = 8.06 g/cm³
energy above the most stable polymorph in this dataset = 0.0 meV per atom
size of the total moment = 0.68 Bohr magnetons per cell

Geometry as CIF:
```
data_Y2FeW
_chemical_formula_sum 'Y2 Fe1 W1'
_symmetry_space_group_name_H-M 'P 4 m m'
_symmetry_Int_Tables_number 99
_cell_length_a 3.154
_cell_length_b 3.154
_cell_length_c 8.649
_cell_angle_alpha 90.00
_cell_angle_beta 90.00
_cell_angle_gamma 90.00
loop_
_symmetry_equiv_pos_as_xyz
'x,y,z'
'-y,x,z'
'-x,-y,z'
'y,-x,z'
'-x,y,z'
'y,x,z'
'x,-y,z'
'-y,-x,z'
loop_
_atom_site_label
_atom_site_fract_x
_atom_site_fract_y
_atom_site_fract_z
Y1 0.000 0.000 0.000
Y2 0.500 0.500 0.376
Fe1 0.000 0.000 0.609
W1 0.500 0.500 0.748
```

=====

No. 7
YZrFeW2 | PBE | relaxed

Properties
total DFT energy (no corrections) = -7.62 eV/atom
formation energy = 2.252 eV per atom
ρ = 9.56 g/cm³
size of the total moment = 0.00 Bohr magnetons per cell

Geometry as CIF:
```
data_YZrFeW2
_chemical_formula_sum 'Y1 Zr1 Fe1 W2'
_symmetry_space_group_name_H-M 'P 4/m m m'
_symmetry_Int_Tables_number 123
_symmetry_space_group_name_Hall '-P 4 2'
_cell_length_a 4.902
_cell_length_b 4.902
_cell_length_c 4.361
_cell_angle_alpha 90.00
_cell_angle_beta 90.00
_cell_angle_gamma 90.00
loop_
_atom_site_label
_atom_site_fract_x
_atom_site_fract_y
_atom_site_fract_z
Y1 0.000 0.000 0.000
Zr1 0.500 0.500 0.500
Fe1 0.000 0.000 0.500
W1 0.000 0.500 0.000
```

=====

No. 8
ZnFe2W | PBE | relaxed

Properties
total DFT energy (no corrections) = -7.58 eV/atom
formation energy = 0.208 eV per atom
ρ = 11.80 g/cm³
size of the total moment = 3.07 Bohr magnetons per cell

Geometry as CIF:
```
data_ZnFe2W
_chemical_formula_sum 'Zn2 Fe4 W2'
_symmetry_space_group_name_H-M 'I -4 m 2'
_symmetry_Int_Tables_number 119
_symmetry_space_group_name_Hall 'I -4 -2'
_cell_length_a 3.569
_cell_length_b 3.569
_cell_length_c 7.976
_cell_angle_alpha 90.00
_cell_angle_beta 90.00
_cell_angle_gamma 90.00
loop_
_atom_site_label
_atom_site_fract_x
_atom_site_fract_y
_atom_site_fract_z
Zn1 0.000 0.000 0.000
Fe1 0.000 0.000 0.500
Fe2 0.000 0.500 0.750
W1 0.000 0.500 0.250
```

=====

No. 9
ZnFe2W | PBE | relaxed

Properties
total DFT energy (no corrections) = -7.61 eV/atom
formation energy = 0.176 eV per atom
ρ = 11.48 g/cm³
size of the total moment = 6.21 Bohr magnetons per cell

Geometry as CIF:
```
data_ZnFe2W
_chemical_formula_sum 'Zn2 Fe4 W2'
_symmetry_space_group_name_H-M 'C 1 m 1'
_symmetry_Int_Tables_number 8
_cell_length_a 9.082
_cell_length_b 2.778
_cell_length_c 4.349
_cell_angle_alpha 90.00
_cell_angle_beta 107.94
_cell_angle_gamma 90.00
loop_
_symmetry_equiv_pos_as_xyz
'x,y,z'
'x,-y,z'
'x+1/2,y+1/2,z'
'x+1/2,-y+1/2,z'
loop_
_atom_site_label
_atom_site_fract_x
_atom_site_fract_y
_atom_site_fract_z
Zn1 0.000 0.000 0.000
Fe1 0.024 0.500 0.524
Fe2 0.250 0.000 0.794
W1 0.271 0.500 0.311
```

=====

No. 10
ZnFe2W | PBE | relaxed

Properties
total DFT energy (no corrections) = -7.64 eV/atom
formation energy = 0.149 eV per atom
ρ = 11.10 g/cm³
size of the total moment = 8.77 Bohr magnetons per cell

Geometry as CIF:
```
data_ZnFe2W
_chemical_formula_sum 'Zn2 Fe4 W2'
_symmetry_space_group_name_H-M 'C m m 2'
_symmetry_Int_Tables_number 35
_cell_length_a 3.150
_cell_length_b 4.167
_cell_length_c 8.226
_cell_angle_alpha 90.00
_cell_angle_beta 90.00
_cell_angle_gamma 90.00
loop_
_symmetry_equiv_pos_as_xyz
'x,y,z'
'-x,-y,z'
'-x,y,z'
'x,-y,z'
'x+1/2,y+1/2,z'
'-x+1/2,-y+1/2,z'
'-x+1/2,y+1/2,z'
'x+1/2,-y+1/2,z'
loop_
_atom_site_label
_atom_site_fract_x
_atom_site_fract_y
_atom_site_fract_z
Zn1 0.000 0.000 0.000
Fe1 0.000 0.000 0.471
Fe2 0.000 0.500 0.245
W1 0.000 0.500 0.724
```

=====

No. 11
Zn2FeW | PBE | relaxed

Properties
total DFT energy (no corrections) = -5.77 eV/atom
formation energy = 0.219 eV per atom
ρ = 10.81 g/cm³
energy above the most stable polymorph in this dataset = 114.8 meV per atom
size of the total moment = 1.75 Bohr magnetons per cell

Geometry as CIF:
```
data_Zn2FeW
_chemical_formula_sum 'Zn6 Fe3 W3'
_symmetry_space_group_name_H-M 'R 3 m'
_symmetry_Int_Tables_number 160
_symmetry_space_group_name_Hall 'R 3 -2"'
_cell_length_a 2.7364
_cell_length_b 2.7364
_cell_length_c 26.3279
_cell_angle_alpha 90.00
_cell_angle_beta 90.00
_cell_angle_gamma 120.00
loop_
_atom_site_label
_atom_site_fract_x
_atom_site_fract_y
_atom_site_fract_z
Zn1 0.0000 0.0000 0.0000
Zn2 0.0000 0.0000 0.2431
Fe1 0.0000 0.0000 0.4984
W1 0.0000 0.0000 0.7563
```

=====

No. 12
Zn2FeW | PBE | relaxed

Properties
total DFT energy (no corrections) = -5.61 eV/atom
formation energy = 0.376 eV per atom
ρ = 10.85 g/cm³
energy above the most stable polymorph in this dataset = 272.3 meV per atom
size of the total moment = 2.46 Bohr magnetons per cell

Geometry as CIF:
```
data_Zn2FeW
_chemical_formula_sum 'Zn2 Fe1 W1'
_symmetry_space_group_name_H-M 'P 4/m m m'
_symmetry_Int_Tables_number 123
_symmetry_space_group_name_Hall '-P 4 2'
_cell_length_a 4.593
_cell_length_b 4.593
_cell_length_c 2.688
_cell_angle_alpha 90.00
_cell_angle_beta 90.00
_cell_angle_gamma 90.00
loop_
_atom_site_label
_atom_site_fract_x
_atom_site_fract_y
_atom_site_fract_z
Zn1 0.000 0.500 0.000
Fe1 0.000 0.000 0.500
W1 0.500 0.500 0.500
```

=====

No. 13
ZnFe2W | PBE | relaxed

Properties
total DFT energy (no corrections) = -7.60 eV/atom
formation energy = 0.191 eV per atom
ρ = 11.44 g/cm³
size of the total moment = 6.61 Bohr magnetons per cell

Geometry as CIF:
```
data_ZnFe2W
_chemical_formula_sum 'Zn2 Fe4 W2'
_symmetry_space_group_name_H-M 'I m m 2'
_symmetry_Int_Tables_number 44
_cell_length_a 2.851
_cell_length_b 4.271
_cell_length_c 8.606
_cell_angle_alpha 90.00
_cell_angle_beta 90.00
_cell_angle_gamma 90.00
loop_
_symmetry_equiv_pos_as_xyz
'x,y,z'
'-x,-y,z'
'-x,y,z'
'x,-y,z'
'x+1/2,y+1/2,z+1/2'
'-x+1/2,-y+1/2,z+1/2'
'-x+1/2,y+1/2,z+1/2'
'x+1/2,-y+1/2,z+1/2'
loop_
_atom_site_label
_atom_site_fract_x
_atom_site_fract_y
_atom_site_fract_z
Zn1 0.000 0.000 0.000
Fe1 0.000 0.000 0.524
Fe2 0.000 0.500 0.249
W1 0.000 0.500 0.775
```

=====

No. 14
Zn2FeW | PBE | relaxed

Properties
total DFT energy (no corrections) = -5.86 eV/atom
formation energy = 0.131 eV per atom
ρ = 10.78 g/cm³
energy above the most stable polymorph in this dataset = 26.8 meV per atom
size of the total moment = 4.24 Bohr magnetons per cell

Geometry as CIF:
```
data_Zn2FeW
_chemical_formula_sum 'Zn4 Fe2 W2'
_symmetry_space_group_name_H-M 'C m m 2'
_symmetry_Int_Tables_number 35
_cell_length_a 3.157
_cell_length_b 4.246
_cell_length_c 8.518
_cell_angle_alpha 90.00
_cell_angle_beta 90.00
_cell_angle_gamma 90.00
loop_
_symmetry_equiv_pos_as_xyz
'x,y,z'
'-x,-y,z'
'-x,y,z'
'x,-y,z'
'x+1/2,y+1/2,z'
'-x+1/2,-y+1/2,z'
'-x+1/2,y+1/2,z'
'x+1/2,-y+1/2,z'
loop_
_atom_site_label
_atom_site_fract_x
_atom_site_fract_y
_atom_site_fract_z
Zn1 0.000 0.000 0.000
Zn2 0.000 0.500 0.261
Fe1 0.000 0.000 0.496
W1 0.000 0.500 0.736
```

=====

No. 15
ZnFeW2 | PBE | relaxed

Properties
total DFT energy (no corrections) = -8.62 eV/atom
formation energy = 0.291 eV per atom
ρ = 13.82 g/cm³
size of the total moment = 1.99 Bohr magnetons per cell

Geometry as CIF:
```
data_ZnFeW2
_chemical_formula_sum 'Zn1 Fe1 W2'
_symmetry_space_group_name_H-M 'P m m 2'
_symmetry_Int_Tables_number 25
_cell_length_a 2.633
_cell_length_b 4.062
_cell_length_c 5.493
_cell_angle_alpha 90.00
_cell_angle_beta 90.00
_cell_angle_gamma 90.00
loop_
_symmetry_equiv_pos_as_xyz
'x,y,z'
'-x,-y,z'
'-x,y,z'
'x,-y,z'
loop_
_atom_site_label
_atom_site_fract_x
_atom_site_fract_y
_atom_site_fract_z
Zn1 0.000 0.000 0.000
Fe1 0.500 0.500 0.223
W1 0.000 0.000 0.484
W2 0.500 0.500 0.744
```

=====

No. 16
Zn2FeW | PBE | relaxed

Properties
total DFT energy (no corrections) = -5.77 eV/atom
formation energy = 0.226 eV per atom
ρ = 11.50 g/cm³
energy above the most stable polymorph in this dataset = 121.8 meV per atom
size of the total moment = 0.00 Bohr magnetons per cell

Geometry as CIF:
```
data_Zn2FeW
_chemical_formula_sum 'Zn4 Fe2 W2'
_symmetry_space_group_name_H-M 'I -4 m 2'
_symmetry_Int_Tables_number 119
_symmetry_space_group_name_Hall 'I -4 -2'
_cell_length_a 4.233
_cell_length_b 4.233
_cell_length_c 5.970
_cell_angle_alpha 90.00
_cell_angle_beta 90.00
_cell_angle_gamma 90.00
loop_
_atom_site_label
_atom_site_fract_x
_atom_site_fract_y
_atom_site_fract_z
Zn1 0.000 0.000 0.000
Zn2 0.000 0.500 0.250
Fe1 0.000 0.500 0.750
W1 0.000 0.000 0.500
```

=====

No. 17
ZnFe2W | PBE | relaxed

Properties
total DFT energy (no corrections) = -7.54 eV/atom
formation energy = 0.245 eV per atom
ρ = 10.98 g/cm³
size of the total moment = 13.28 Bohr magnetons per cell

Geometry as CIF:
```
data_ZnFe2W
_chemical_formula_sum 'Zn3 Fe6 W3'
_symmetry_space_group_name_H-M 'R -3 m'
_symmetry_Int_Tables_number 166
_symmetry_space_group_name_Hall '-R 3 2"'
_cell_length_a 2.6679
_cell_length_b 2.6679
_cell_length_c 26.5564
_cell_angle_alpha 90.00
_cell_angle_beta 90.00
_cell_angle_gamma 120.00
loop_
_atom_site_label
_atom_site_fract_x
_atom_site_fract_y
_atom_site_fract_z
Zn1 0.0000 0.0000 0.0000
Fe1 0.0000 0.0000 0.2525
W1 0.0000 0.0000 0.5000
```

=====

No. 18
ZnFe2W2 | PBE | relaxed

Properties
total DFT energy (no corrections) = -8.59 eV/atom
formation energy = 0.231 eV per atom
ρ = 13.05 g/cm³
size of the total moment = 0.00 Bohr magnetons per cell

Geometry as CIF:
```
data_ZnFe2W2
_chemical_formula_sum 'Zn2 Fe4 W4'
_symmetry_space_group_name_H-M 'P 4/m b m'
_symmetry_Int_Tables_number 127
_symmetry_space_group_name_Hall '-P 4 2ab'
_cell_length_a 7.047
_cell_length_b 7.047
_cell_length_c 2.792
_cell_angle_alpha 90.00
_cell_angle_beta 90.00
_cell_angle_gamma 90.00
loop_
_atom_site_label
_atom_site_fract_x
_atom_site_fract_y
_atom_site_fract_z
Zn1 0.000 0.000 0.000
Fe1 0.129 0.371 0.000
W1 0.165 0.665 0.500
```

=====

No. 19
ZnFeW2 | PBE | relaxed

Properties
total DFT energy (no corrections) = -8.55 eV/atom
formation energy = 0.362 eV per atom
ρ = 13.87 g/cm³
size of the total moment = 8.27 Bohr magnetons per cell

Geometry as CIF:
```
data_ZnFeW2
_chemical_formula_sum 'Zn4 Fe4 W8'
_symmetry_space_group_name_H-M 'F -4 3 m'
_symmetry_Int_Tables_number 216
_symmetry_space_group_name_Hall 'F -4 2 3'
_cell_length_a 6.164
_cell_length_b 6.164
_cell_length_c 6.164
_cell_angle_alpha 90.00
_cell_angle_beta 90.00
_cell_angle_gamma 90.00
loop_
_atom_site_label
_atom_site_fract_x
_atom_site_fract_y
_atom_site_fract_z
Zn1 0.000 0.000 0.000
Fe1 0.250 0.250 0.750
W1 0.000 0.000 0.500
W2 0.250 0.250 0.250
```

=====

No. 20
ZnFe6W | PBE | relaxed

Properties
total DFT energy (no corrections) = -8.06 eV/atom
formation energy = 0.062 eV per atom
ρ = 9.92 g/cm³
energy above the most stable polymorph in this dataset = 0.0 meV per atom
size of the total moment = 91.81 Bohr magnetons per cell

Geometry as CIF:
```
data_ZnFe6W
_chemical_formula_sum 'Zn8 Fe48 W8'
_symmetry_space_group_name_H-M 'C m m m'
_symmetry_Int_Tables_number 65
_symmetry_space_group_name_Hall '-C 2 2'
_cell_length_a 6.126
_cell_length_b 11.329
_cell_length_c 11.272
_cell_angle_alpha 90.00
_cell_angle_beta 90.00
_cell_angle_gamma 90.00
loop_
_atom_site_label
_atom_site_fract_x
_atom_site_fract_y
_atom_site_fract_z
Zn1 0.000 0.000 0.248
Zn2 0.000 0.247 0.000
Fe1 0.000 0.000 0.000
Fe2 0.000 0.000 0.500
Fe3 0.000 0.246 0.247
Fe4 0.000 0.500 0.000
Fe5 0.000 0.500 0.500
Fe6 0.246 0.375 0.124
Fe7 0.248 0.375 0.375
W1 0.000 0.252 0.500
W2 0.000 0.500 0.248
```